Computed, not measured: an optimized crystal structure of Ba6Ag2PI2 at the PBE level of DFT.

Results
crystal system	monoclinic
electronic total energy	-34.25	eV per cell
raw formation energy	-0.773	eV/atom

Lattice parameters (Å, degrees): 8.439 8.439 8.703 100.05 100.05 118.79
Fractional positions:
P1 0.000 0.000 0.500
Ba1 0.753 0.753 0.707
Ba2 0.610 0.915 0.277
Ba3 0.390 0.085 0.723
Ba4 0.085 0.390 0.723
Ba5 0.247 0.247 0.293
Ba6 0.915 0.610 0.277
Ag1 0.326 0.674 0.500
Ag2 0.674 0.326 0.500
I1 0.830 0.170 0.000
I2 0.170 0.830 0.000


Computed, not measured: an optimized crystal structure of Ba2AgPbI at the PBE level of DFT.

Results
crystal system	tetragonal
electronic total energy	-13.07	eV per cell
raw formation energy	-0.223	eV/atom

Lattice parameters (Å, degrees): 6.564 5.365 6.564 90.00 90.00 90.00
Fractional positions:
Ba1 0.500 0.000 0.000
Ba2 0.000 0.000 0.500
Ag1 0.000 0.500 0.000
I1 0.000 0.000 0.000
Pb1 0.500 0.500 0.500


Computed, not measured: an optimized crystal structure of Ba8Ag3PdI4 at the PBE level of DFT.

Results
crystal system	trigonal
electronic total energy	-48.82	eV per cell
raw formation energy	-0.843	eV/atom

Lattice parameters (Å, degrees): 9.525 10.479 9.524 117.02 120.00 90.00
Fractional positions:
I1 0.000 0.000 0.000
I2 0.500 0.000 0.500
I3 0.500 0.000 0.000
I4 0.000 0.000 0.500
Ba1 0.261 0.285 0.523
Ba2 0.769 0.291 0.021
Ba3 0.252 0.291 0.021
Ba4 0.770 0.291 0.539
Ba5 0.231 0.709 0.979
Ba6 0.739 0.715 0.477
Ba7 0.230 0.709 0.461
Ba8 0.748 0.709 0.979
Ag1 0.500 0.500 0.500
Ag2 0.000 0.500 0.500
Ag3 0.500 0.500 0.000
Pd1 0.000 0.500 0.000


What is the formula in the second record? Ba2AgPbI